Here is Pb4Br5 at its PBEsol-relaxed geometry from the Alexandria database. Energies are from meta-GGA SCAN.

It has space group P6_3/mcm (No. 193), with a = 9.3338 Å, b = 9.3338 Å, c = 6.7083 Å, α = 90.00°, β = 90.00° and γ = 120.00°. The inequivalent atoms are Pb at (0.0000, 0.0000, 0.0000), Pb at (0.0000, 0.3653, 0.2500), Br at (0.0000, 0.3152, 0.7500) and Br at (0.3333, 0.6667, 0.0000).

For the formation energy without anion corrections, the calculation gives -0.468 eV/atom. The calculated volume is 506.1 Å³ per cell. The calculation puts the density of states at the Fermi level at 5.565 states/eV/cell. The value obtained for the spin magnetization is 0.000 μB per atom.


Here is PdPb2Br6 at its PBEsol-relaxed geometry from the Alexandria database. Energies are from meta-GGA SCAN.

It has space group P2_1/c (No. 14), with a = 9.397 Å, b = 6.609 Å, c = 8.238 Å, α = 90.00°, β = 90.81° and γ = 90.00°. The inequivalent atoms are Pd at (0.000, 0.000, 0.000), Pb at (0.275, 0.044, 0.619), Br at (0.053, 0.196, 0.343), Br at (0.245, 0.614, 0.476) and Br at (0.443, 0.153, 0.330).

For the formation energy without anion corrections, the calculation gives -0.751 eV/atom. The calculated volume is 511.6 Å³ per cell. The value obtained for the spin magnetization is 0.000 μB per atom.


Here is RePdPbBr2 at its PBEsol-relaxed geometry from the Alexandria database. Energies are from meta-GGA SCAN.

It has space group P4/mmm (No. 123), with a = 4.749 Å, b = 4.749 Å, c = 5.674 Å, α = 90.00°, β = 90.00° and γ = 90.00°. The inequivalent atoms are Re at (0.000, 0.000, 0.000), Pd at (0.500, 0.500, 0.500), Pb at (0.000, 0.000, 0.500) and Br at (0.000, 0.500, 0.000).

For the formation energy without anion corrections, the calculation gives 0.977 eV/atom. The calculated volume is 127.9 Å³ per cell. The calculation puts the density of states at the Fermi level at 4.299 states/eV/cell. The value obtained for the spin magnetization is 0.083 μB per atom.


Here is PdPbSe2Br at its PBEsol-relaxed geometry from the Alexandria database. Energies are from meta-GGA SCAN.

It has space group P4/mmm (No. 123), with a = 4.935 Å, b = 4.935 Å, c = 5.000 Å, α = 90.00°, β = 90.00° and γ = 90.00°. The inequivalent atoms are Pd at (0.000, 0.000, 0.000), Pb at (0.500, 0.500, 0.500), Se at (0.000, 0.500, 0.000) and Br at (0.000, 0.000, 0.500).

For the formation energy without anion corrections, the calculation gives -0.135 eV/atom. The calculated volume is 121.8 Å³ per cell. The calculation puts the density of states at the Fermi level at 2.619 states/eV/cell. The value obtained for the spin magnetization is 0.000 μB per atom.


Here is PtPbBr at its PBEsol-relaxed geometry from the Alexandria database. Energies are from meta-GGA SCAN.

It has space group F-43m (No. 216), with a = 6.829 Å, b = 6.829 Å, c = 6.829 Å, α = 90.00°, β = 90.00° and γ = 90.00°. The inequivalent atoms are Pt at (0.000, 0.000, 0.000), Pb at (0.250, 0.250, 0.750) and Br at (0.000, 0.000, 0.500).

For the formation energy without anion corrections, the calculation gives 0.417 eV/atom. The calculated volume is 318.5 Å³ per cell. The calculation puts the density of states at the Fermi level at 15.401 states/eV/cell. The value obtained for the spin magnetization is 0.000 μB per atom.


Here is Ta2PtPbBr at its PBEsol-relaxed geometry from the Alexandria database. Energies are from meta-GGA SCAN.

It has space group P4/mmm (No. 123), with a = 5.292 Å, b = 5.292 Å, c = 4.930 Å, α = 90.00°, β = 90.00° and γ = 90.00°. The inequivalent atoms are Ta at (0.000, 0.500, 0.000), Pt at (0.000, 0.000, 0.500), Pb at (0.000, 0.000, 0.000) and Br at (0.500, 0.500, 0.500).

For the formation energy without anion corrections, the calculation gives 2.087 eV/atom. The calculated volume is 138.0 Å³ per cell. The calculation puts the density of states at the Fermi level at 2.883 states/eV/cell. The value obtained for the spin magnetization is 0.956 μB per atom.


Here is RbPbBr3 at its PBEsol-relaxed geometry from the Alexandria database. Energies are from meta-GGA SCAN.

It has space group Cmcm (No. 63), with a = 4.392 Å, b = 14.314 Å, c = 11.193 Å, α = 90.00°, β = 90.00° and γ = 90.00°. The inequivalent atoms are Rb at (0.000, 0.248, 0.250), Pb at (0.000, 0.500, 0.000), Br at (0.000, 0.140, 0.550) and Br at (0.000, 0.431, 0.750).

For the formation energy without anion corrections, the calculation gives -1.382 eV/atom. The calculated volume is 703.6 Å³ per cell. The calculation puts the density of states at the Fermi level at 0.000 states/eV/cell. The value obtained for the spin magnetization is 0.000 μB per atom.


Here is RbPb3Br at its PBEsol-relaxed geometry from the Alexandria database. Energies are from meta-GGA SCAN.

It has space group Pm-3m (No. 221), with a = 6.180 Å, b = 6.180 Å, c = 6.180 Å, α = 90.00°, β = 90.00° and γ = 90.00°. The inequivalent atoms are Rb at (0.000, 0.000, 0.000), Pb at (0.000, 0.000, 0.500) and Br at (0.500, 0.500, 0.500).

For the formation energy without anion corrections, the calculation gives 1.014 eV/atom. The calculated volume is 236.0 Å³ per cell. The calculation puts the density of states at the Fermi level at 4.821 states/eV/cell. The value obtained for the spin magnetization is 0.540 μB per atom. As for the relative energy among the computed polymorphs: 852 meV/atom.


Here is RbPb3Br at its PBEsol-relaxed geometry from the Alexandria database. Energies are from meta-GGA SCAN.

It has space group Pm-3m (No. 221), with a = 5.802 Å, b = 5.802 Å, c = 5.802 Å, α = 90.00°, β = 90.00° and γ = 90.00°. The inequivalent atoms are Rb at (0.000, 0.000, 0.000), Pb at (0.000, 0.500, 0.500) and Br at (0.500, 0.500, 0.500).

For the formation energy without anion corrections, the calculation gives 0.161 eV/atom. The calculated volume is 195.4 Å³ per cell. The calculation puts the density of states at the Fermi level at 3.832 states/eV/cell. The value obtained for the spin magnetization is 0.000 μB per atom. As for the relative energy among the computed polymorphs: 0 meV/atom.


Here is RePbBr2 at its PBEsol-relaxed geometry from the Alexandria database. Energies are from meta-GGA SCAN.

It has space group Imm2 (No. 44), with a = 3.099 Å, b = 4.690 Å, c = 13.531 Å, α = 90.00°, β = 90.00° and γ = 90.00°. The inequivalent atoms are Re at (0.000, 0.000, 0.000), Pb at (0.000, 0.500, 0.316), Br at (0.000, 0.000, 0.476) and Br at (0.000, 0.500, 0.646).

For the formation energy without anion corrections, the calculation gives 0.667 eV/atom. The calculated volume is 196.7 Å³ per cell. The calculation puts the density of states at the Fermi level at 3.371 states/eV/cell. The value obtained for the spin magnetization is 0.000 μB per atom. As for the relative energy among the computed polymorphs: 231 meV/atom.


Here is RePbBr2 at its PBEsol-relaxed geometry from the Alexandria database. Energies are from meta-GGA SCAN.

It has space group Cmm2 (No. 35), with a = 3.321 Å, b = 5.848 Å, c = 9.438 Å, α = 90.00°, β = 90.00° and γ = 90.00°. The inequivalent atoms are Re at (0.000, 0.000, 0.000), Pb at (0.000, 0.500, 0.756), Br at (0.000, 0.000, 0.508) and Br at (0.000, 0.500, 0.194).

For the formation energy without anion corrections, the calculation gives 0.756 eV/atom. The calculated volume is 183.3 Å³ per cell. The calculation puts the density of states at the Fermi level at 4.340 states/eV/cell. The value obtained for the spin magnetization is 0.001 μB per atom. As for the relative energy among the computed polymorphs: 319 meV/atom.


Here is RePbBr2 at its PBEsol-relaxed geometry from the Alexandria database. Energies are from meta-GGA SCAN.

It has space group Immm (No. 71), with a = 3.202 Å, b = 4.906 Å, c = 12.816 Å, α = 90.00°, β = 90.00° and γ = 90.00°. The inequivalent atoms are Re at (0.000, 0.000, 0.000), Pb at (0.000, 0.000, 0.500) and Br at (0.000, 0.500, 0.339).

For the formation energy without anion corrections, the calculation gives 0.437 eV/atom. The calculated volume is 201.3 Å³ per cell. The calculation puts the density of states at the Fermi level at 4.297 states/eV/cell. The value obtained for the spin magnetization is 0.000 μB per atom. As for the relative energy among the computed polymorphs: 0 meV/atom.


> Which of these has the highest calculated volume?

RbPbBr3